VASP calculation (meta-GGA SCAN) on a PBEsol-optimized structure of FeSbOsI2.

Lattice parameters (Å, degrees): 4.9590 5.4285 5.4285 90.00 90.00 90.00
Site moments in Bohr magnetons follow the coordinates.
Positions (direct):
Os  0.0000  0.0000  0.0000  -0.07
Sb  0.5000  0.0000  0.0000  0.01
I  0.0000  0.5000  0.0000  0.03
I  0.0000  0.0000  0.5000  0.03
Fe  0.5000  0.5000  0.5000  3.47

Properties
- SG: No. 123
- D(E_F): 5.45 states/eV per cell
- Theoretical density: 7.1 g/cm³
- Size of the total moment: 3.86 Bohr magnetons per cell
- Total energy: -39.008 eV/atom